Record 1
A relaxed V2Co2Sn crystal, computed with PBE.

```
V2Co2Sn
1.0
-3.737 0.018 1.139
-0.207 -3.852 -0.619
-0.594 -2.719 4.795
Co Sn V
2 1 2
Direct
0.384 0.384 0.233
0.616 0.616 0.767
0.000 0.000 0.000
0.750 0.250 0.500
0.250 0.750 0.500
```

Calculated values
crystal system = tetragonal
uncorrected energy = -36.241 eV/cell
magnetization = 0.000 μB per formula unit

Record 2
A relaxed Fe3CoS crystal, computed with PBE.

```
Fe3CoS
1.0
4.106 0.000 0.000
0.000 4.106 0.000
0.000 0.000 4.106
S Co Fe
1 1 3
Direct
0.000 0.000 0.000
0.500 0.500 0.500
0.000 0.500 0.000
0.000 0.000 0.500
0.500 0.000 0.000
```

Calculated values
ΔE_f (raw) = 0.425 eV per atom
crystal system = cubic
ΔE to the lowest computed polymorph = 0 meV per atom
magnetization = 8.634 μB per formula unit

Record 3
A relaxed AlBH4 crystal, computed with PBE.

```
AlBH4
1.0
6.198 1.921 0.000
0.338 4.718 0.000
0.000 0.000 4.853
Al B H
2 2 8
Direct
0.948 0.595 0.750
0.052 0.405 0.250
0.732 0.086 0.750
0.268 0.914 0.250
0.663 0.867 0.750
0.337 0.133 0.250
0.941 0.982 0.750
0.059 0.018 0.250
0.327 0.777 0.036
0.673 0.223 0.536
0.327 0.777 0.464
0.673 0.223 0.964
```

Calculated values
crystal system = monoclinic
uncorrected energy = -47.546 eV/cell
magnetization = 0.000 μB per formula unit

Record 4
A relaxed Y2Tl3Hg3 crystal, computed with PBE.

```
Y2Tl3Hg3
1.0
4.754 0.000 0.000
0.000 4.655 0.000
0.000 0.000 9.225
Y Tl Hg
2 3 3
Direct
0.000 0.000 0.752
0.000 0.000 0.248
0.500 0.000 0.500
0.000 0.500 0.000
0.000 0.500 0.500
0.500 0.500 0.753
0.500 0.500 0.247
0.500 0.000 0.000
```

Calculated values
crystal system = orthorhombic
uncorrected energy = -23.180 eV/cell
magnetization = 0.000 μB per formula unit

Record 5
A relaxed HoHfCu crystal, computed with PBE.

```
HoHfCu
1.0
5.085 0.000 0.000
2.543 4.404 0.000
2.543 1.468 5.849
Hf Cu Ho
2 2 2
Direct
0.405 0.405 0.784
0.595 0.595 0.216
0.261 0.261 0.217
0.739 0.739 0.783
0.106 0.106 0.681
0.894 0.894 0.319
```

Calculated values
crystal system = trigonal
ΔE to the lowest computed polymorph = 392 meV per atom
magnetization = 0.000 μB per formula unit

Record 6
A relaxed YMg3In2 crystal, computed with PBE.

```
YMg3In2
1.0
4.576 0.000 1.349
1.003 8.022 5.033
-0.096 1.421 8.760
Y Mg In
2 6 4
Direct
0.115 0.818 0.952
0.885 0.182 0.048
0.700 0.080 0.520
0.071 0.300 0.558
0.376 0.501 0.746
0.624 0.499 0.254
0.929 0.700 0.442
0.300 0.920 0.480
0.521 0.164 0.794
0.479 0.836 0.206
0.239 0.337 0.184
0.761 0.663 0.816
```

Calculated values
crystal system = monoclinic
uncorrected energy = -36.085 eV/cell
magnetization = 0.000 μB per formula unit

Record 7
A relaxed Ac2Pd5Pb3 crystal, computed with PBE.

```
Ac2Pd5Pb3
1.0
6.397 0.000 0.000
3.199 8.785 0.136
3.199 1.489 8.659
Ac Pd Pb
4 10 6
Direct
0.126 0.609 0.138
0.626 0.138 0.609
0.874 0.391 0.862
0.374 0.862 0.391
0.393 0.279 0.934
0.893 0.934 0.279
0.607 0.721 0.066
0.107 0.066 0.721
0.455 0.795 0.795
0.545 0.205 0.205
0.750 0.500 0.500
0.250 0.500 0.500
0.045 0.205 0.205
0.955 0.795 0.795
0.352 0.556 0.740
0.852 0.740 0.556
0.648 0.444 0.260
0.148 0.260 0.444
0.250 0.000 0.000
0.750 0.000 0.000
```

Calculated values
crystal system = orthorhombic
ΔE to the lowest computed polymorph = 18 meV per atom
magnetization = 0.000 μB per formula unit

Record 8
A relaxed CaTlAs crystal, computed with PBE.

```
CaTlAs
1.0
5.126 0.000 0.000
2.563 4.439 0.000
2.563 1.480 4.185
Tl Ca As
1 1 1
Direct
0.500 0.500 0.500
0.000 0.000 0.000
0.750 0.750 0.750
```

Calculated values
crystal system = cubic
ΔE to the lowest computed polymorph = 120 meV per atom
magnetization = 0.000 μB per formula unit

Record 9
A relaxed Pm2Zn4PdAu3 crystal, computed with PBE.

```
Pm2Zn4PdAu3
1.0
-1.390 -0.700 3.819
3.879 -0.440 1.331
0.516 11.512 2.297
Pm Zn Pd Au
2 4 1 3
Direct
0.500 0.000 0.255
0.000 0.500 0.745
0.500 0.500 0.000
0.000 0.000 0.000
0.500 0.000 0.634
0.000 0.500 0.366
0.500 0.500 0.500
0.000 0.000 0.500
0.500 0.000 0.853
0.000 0.500 0.147
```

Calculated values
crystal system = tetragonal
uncorrected energy = -34.946 eV/cell
magnetization = 0.000 μB per formula unit

Record 10
A relaxed Ce2HgBr8 crystal, computed with PBE.

```
Ce2HgBr8
1.0
-7.091 1.961 -0.869
-2.811 -7.081 0.345
1.117 0.723 7.288
Ce Hg Br
2 1 8
Direct
0.311 0.453 0.689
0.689 0.547 0.311
0.000 0.000 0.000
0.671 0.339 0.947
0.947 0.661 0.671
0.198 0.132 0.802
0.802 0.868 0.198
0.053 0.339 0.329
0.329 0.661 0.053
0.447 0.742 0.553
0.553 0.258 0.447
```

Calculated values
ΔE_f (raw) = -1.401 eV per atom
crystal system = monoclinic
magnetization = 2.035 μB per formula unit

Record 11
A relaxed LiIrS2 crystal, computed with PBE.

```
LiIrS2
1.0
1.682 0.000 8.012
-0.841 1.456 8.012
-0.841 -1.456 8.012
S Ir Li
2 1 1
Direct
0.907 0.907 0.907
0.093 0.093 0.093
0.000 0.000 0.000
0.500 0.500 0.500
```

Calculated values
ΔE_f (raw) = -0.154 eV per atom
crystal system = trigonal
magnetization = 0.000 μB per formula unit

Record 12
A relaxed YVAg2 crystal, computed with PBE.

```
YVAg2
1.0
-2.598 2.471 3.324
-4.843 0.431 -0.510
-3.000 -2.392 3.029
Y Ag V
1 2 1
Direct
0.500 0.500 0.500
0.250 0.250 0.250
0.750 0.750 0.750
0.000 0.000 0.000
```

Calculated values
crystal system = cubic
ΔE to the lowest computed polymorph = 0 meV per atom
magnetization = 3.242 μB per formula unit